Entry 1:
Na2SrZn2O4 | PBE-GGA | relaxed

Geometry as POSCAR:
```
Na2SrZn2O4
1.0
3.493 0.000 0.000
0.000 8.451 -0.998
-1.747 -4.546 5.162
Na Sr Zn O
2 1 2 4
direct
0.177 0.565 0.353
0.823 0.435 0.647
0.000 0.000 0.000
0.631 0.886 0.263
0.369 0.114 0.737
0.232 0.124 0.464
0.768 0.876 0.536
0.434 0.721 0.868
0.566 0.279 0.132
```

* space group: C2/m
* DFT total energy: -4.637 eV per atom
* E_form (uncorrected): -1.67 eV/atom
* total magnetization: 0.000 μB/atom
* crystal system: monoclinic

=====

Entry 2:
NaSrZnO2 | PBE-GGA | relaxed

Geometry as POSCAR:
```
NaSrZnO2
1.0
-3.018 -1.427 -2.779
-1.484 -4.365 3.852
-4.173 4.699 2.119
Na Sr Zn O
2 2 2 4
direct
0.483 0.000 0.250
0.517 0.000 0.750
0.249 0.500 0.750
0.751 0.500 0.250
0.000 0.000 0.000
0.000 0.000 0.500
0.723 0.736 0.958
0.723 0.264 0.542
0.277 0.736 0.458
0.277 0.264 0.042
```

* space group: P2/c
* DFT total energy: -4.231 eV per atom
* E_form (uncorrected): -1.39 eV/atom
* total magnetization: 0.000 μB/atom
* crystal system: monoclinic

=====

Entry 3:
NaSr2ZnO | PBE-GGA | relaxed

Geometry as POSCAR:
```
NaSr2ZnO
1.0
5.104 0.000 0.000
0.000 5.104 0.000
0.000 0.000 4.935
Sr Zn O Na
2 1 1 1
direct
0.000 0.500 0.000
0.500 0.000 0.000
0.500 0.500 0.500
0.000 0.000 0.000
0.000 0.000 0.500
```

* space group: P4/mmm
* DFT total energy: -3.172 eV per atom
* E_form (uncorrected): -0.99 eV/atom
* total magnetization: 0.000 μB/atom
* crystal system: tetragonal

=====

Entry 4:
Na2Sr3ZrO6 | PBE-GGA | relaxed

Geometry as POSCAR:
```
Na2Sr3ZrO6
1.0
-2.029 -5.316 -2.260
-0.672 1.202 5.966
-4.087 3.719 -2.273
Na Sr Zr O
2 3 1 6
direct
0.335 0.665 0.000
0.665 0.335 0.000
0.172 0.828 0.500
0.828 0.172 0.500
0.500 0.500 0.500
0.000 0.000 0.000
0.924 0.633 0.769
0.790 0.790 0.230
0.076 0.367 0.231
0.633 0.924 0.769
0.210 0.210 0.770
0.367 0.076 0.231
```

* space group: C2/m
* DFT total energy: -6.398 eV per atom
* E_form (uncorrected): -2.57 eV/atom
* total magnetization: 0.000 μB/atom
* crystal system: monoclinic

=====

Entry 5:
Na2SrZr3O8 | PBE-GGA | relaxed

Geometry as POSCAR:
```
Na2SrZr3O8
1.0
-4.064 0.071 -5.219
-6.524 -0.646 0.879
-4.023 5.428 -0.985
Na Sr Zr O
2 1 3 8
direct
0.118 0.118 0.647
0.500 0.500 0.500
0.878 0.878 0.366
0.499 0.004 0.998
0.004 0.499 0.998
0.499 0.499 0.998
0.266 0.266 0.201
0.733 0.733 0.801
0.248 0.248 0.809
0.695 0.248 0.809
0.248 0.695 0.809
0.748 0.309 0.195
0.309 0.748 0.195
0.748 0.748 0.195
```

* space group: R3m
* DFT total energy: -7.860 eV per atom
* E_form (uncorrected): -2.89 eV/atom
* total magnetization: 0.000 μB/atom
* crystal system: trigonal

=====

Entry 6:
NaSrZrO4 | PBE-GGA | relaxed

Geometry as POSCAR:
```
NaSrZrO4
1.0
-1.571 2.259 3.115
-3.432 -2.345 -0.030
5.179 -3.930 2.691
Na Sr Zr O
1 1 1 4
direct
0.655 0.655 0.311
0.356 0.356 0.712
0.010 0.010 0.021
0.988 0.488 0.976
0.488 0.988 0.976
0.835 0.835 0.670
0.167 0.167 0.335
```

* space group: I4mm
* DFT total energy: -6.944 eV per atom
* E_form (uncorrected): -2.46 eV/atom
* total magnetization: 0.145 μB/atom
* crystal system: tetragonal